# 1
The following is a PBE-GGA calculation of a relaxed structure of UB2S6, from the Alexandria database.

## Properties
D(E_F) ... 0.0111 states/eV/atom
Formation energy from raw total energies ... -0.523 eV/atom

a b c (Å): 7.6608 7.6608 6.0338
angles (deg): 106.26 106.26 77.53
Last column: nearest neighbours and their distance in Å.
Sites, in units of the cell vectors:
U  0.1724  0.8276  0.7500  6 S 2.54-2.84
U  0.8276  0.1724  0.2500  6 S 2.54-2.84
B  0.2419  0.3646  0.7725  4 S 1.90-1.98
B  0.3646  0.2419  0.2725  4 S 1.90-1.98
B  0.6354  0.7581  0.7275  4 S 1.90-1.98
B  0.7581  0.6354  0.2275  4 S 1.90-1.98
S  0.0729  0.1844  0.6587  1 B 1.95
S  0.1415  0.5902  0.9530  1 B 1.90
S  0.1844  0.0729  0.1587  1 B 1.95
S  0.2746  0.4462  0.5172  2 B 1.91-1.98
S  0.4098  0.8585  0.5470  1 B 1.90
S  0.4462  0.2746  0.0172  2 B 1.91-1.98
S  0.5538  0.7254  0.9828  2 B 1.91-1.98
S  0.5902  0.1415  0.4530  1 B 1.90
S  0.7254  0.5538  0.4828  2 B 1.91-1.98
S  0.8156  0.9271  0.8413  1 B 1.95
S  0.8585  0.4098  0.0470  1 B 1.90
S  0.9271  0.8156  0.3413  1 B 1.95



# 2
The following is a PBE-GGA calculation of a relaxed structure of LaPm6PrHo2, from the Alexandria database.

## Properties
ΔH_f (0 K) ... 1.14 eV/f.u.
D(E_F) ... 1.4532 states/eV/atom

a b c (Å): 8.9587 8.9587 9.7737
angles (deg): 93.78 93.78 117.04
Last column: nearest neighbours and their distance in Å.
Sites, in units of the cell vectors:
La  0.0942  0.9058  0.7500  6 Pm 3.51-3.62, 2 Ho 3.62
La  0.9058  0.0942  0.2500  6 Pm 3.51-3.62, 2 Ho 3.62
Pm  0.0141  0.7958  0.3804  3 Pm 3.27-3.45, 3 Ho 3.37-3.52, 2 La 3.51-3.62
Pm  0.0636  0.5195  0.1791  2 Pm 3.27-3.55, 2 Ho 3.51-3.65, 1 La 3.55, 1 Pr 3.58
Pm  0.2042  0.9859  0.1196  3 Pm 3.27-3.45, 3 Ho 3.37-3.52, 2 La 3.51-3.62
Pm  0.2568  0.6095  0.5572  7 Pm 3.45-3.85, 1 Ho 3.52, 2 Pr 3.72-3.83
Pm  0.3905  0.7432  0.9428  7 Pm 3.45-3.85, 1 Ho 3.52, 2 Pr 3.72-3.83
Pm  0.4805  0.9364  0.3209  2 Pm 3.27-3.55, 2 Ho 3.51-3.65, 1 La 3.55, 1 Pr 3.58
Pm  0.5195  0.0636  0.6791  2 Pm 3.27-3.55, 2 Ho 3.51-3.65, 1 La 3.55, 1 Pr 3.58
Pm  0.6095  0.2568  0.0572  7 Pm 3.45-3.85, 1 Ho 3.52, 2 Pr 3.72-3.83
Pm  0.7432  0.3905  0.4428  7 Pm 3.45-3.85, 1 Ho 3.52, 2 Pr 3.72-3.83
Pm  0.7958  0.0141  0.8804  3 Pm 3.27-3.45, 3 Ho 3.37-3.52, 2 La 3.51-3.62
Pm  0.9364  0.4805  0.8209  2 Pm 3.27-3.55, 2 Ho 3.51-3.65, 1 La 3.55, 1 Pr 3.58
Pm  0.9859  0.2042  0.6196  3 Pm 3.27-3.45, 3 Ho 3.37-3.52, 2 La 3.51-3.62
Pr  0.4670  0.5330  0.2500  4 Ho 3.45-3.49, 6 Pm 3.58-3.83
Pr  0.5330  0.4670  0.7500  4 Ho 3.45-3.49, 6 Pm 3.58-3.83
Ho  0.2050  0.3030  0.9515  6 Pm 3.37-3.65, 2 Pr 3.45-3.49, 1 La 3.62
Ho  0.3030  0.2050  0.4515  6 Pm 3.37-3.65, 2 Pr 3.45-3.49, 1 La 3.62
Ho  0.6970  0.7950  0.5485  6 Pm 3.37-3.65, 2 Pr 3.45-3.49, 1 La 3.62
Ho  0.7950  0.6970  0.0485  6 Pm 3.37-3.65, 2 Pr 3.45-3.49, 1 La 3.62